Entry 1:
Below is an optimized crystal structure of VNiRu3, with properties calculated at the PBE level.

The calculation puts the energy above the lowest structure with this stoichiometry at 1444 meV/atom. The value obtained for the total DFT energy (no corrections) is -35.67 eV for the cell shown. The calculated volume is 86.09 Å³ per cell. As for the formation energy: 1411.1 meV/atom.

Lattice parameters (Å, degrees): 4.4156 4.4156 4.4156 90.00 90.00 90.00
Last column: nearest neighbours and their distance in Å.
Sites, in units of the cell vectors:
V 0.0000 0.0000 0.0000  12 Ru 3.12
Ni 0.5000 0.5000 0.5000  6 Ru 2.21
Ru 0.0000 0.5000 0.5000  2 Ni 2.21
Ru 0.5000 0.0000 0.5000  2 Ni 2.21
Ru 0.5000 0.5000 0.0000  2 Ni 2.21

Entry 2:
Below is an optimized crystal structure of V5Ni8Ru, with properties calculated at the PBE level.

The value obtained for the total DFT energy (no corrections) is -99.44 eV for the cell shown. The calculated volume is 175.72 Å³ per cell. As for the formation energy: 119.7 meV/atom.

Lattice parameters (Å, degrees): 6.1136 6.1136 6.1136 108.42 108.42 111.60
Last column: nearest neighbours and their distance in Å.
Sites, in units of the cell vectors:
V 0.0000 0.0000 0.0000  4 Ni 2.29
V 0.3134 0.6123 0.0933  5 Ni 2.34-2.52, 2 V 2.52
V 0.3877 0.4810 0.7011  5 Ni 2.34-2.52, 2 V 2.52
V 0.5190 0.2201 0.9067  5 Ni 2.34-2.52, 2 V 2.52
V 0.7799 0.6866 0.2989  5 Ni 2.34-2.52, 2 V 2.52
Ni 0.0273 0.4365 0.2745  5 V 2.46-2.69, 4 Ni 2.46-2.57, 1 Ru 2.67
Ni 0.0459 0.1069 0.6834  4 V 2.29-2.48, 1 Ru 2.41, 2 Ni 2.49-2.55
Ni 0.1620 0.7528 0.7255  5 V 2.46-2.69, 4 Ni 2.46-2.57, 1 Ru 2.67
Ni 0.2472 0.9727 0.4092  5 V 2.46-2.69, 4 Ni 2.46-2.57, 1 Ru 2.67
Ni 0.4235 0.3625 0.3166  4 V 2.29-2.48, 1 Ru 2.41, 2 Ni 2.49-2.55
Ni 0.5635 0.8380 0.5908  5 V 2.46-2.69, 4 Ni 2.46-2.57, 1 Ru 2.67
Ni 0.6375 0.9541 0.0610  4 V 2.29-2.48, 1 Ru 2.41, 2 Ni 2.49-2.55
Ni 0.8931 0.5765 0.9390  4 V 2.29-2.48, 1 Ru 2.41, 2 Ni 2.49-2.55
Ru 0.7500 0.2500 0.5000  8 Ni 2.41-2.67

Entry 3:
Below is an optimized crystal structure of VNiRu, with properties calculated at the PBE level.

The calculation puts the energy above the lowest structure with this stoichiometry at 82 meV/atom. The value obtained for the total DFT energy (no corrections) is -48.57 eV for the cell shown. The calculated volume is 77.64 Å³ per cell. As for the formation energy: -35.8 meV/atom.

Lattice parameters (Å, degrees): 4.2245 4.2245 4.9340 98.01 98.01 63.36
Last column: nearest neighbours and their distance in Å.
Sites, in units of the cell vectors:
V 0.1656 0.1656 0.3803  3 Ru 2.43-2.54, 3 Ni 2.55-2.57, 2 V 2.71
V 0.8344 0.8344 0.6197  3 Ru 2.43-2.54, 3 Ni 2.55-2.57, 2 V 2.71
Ni 0.4982 0.4982 0.2531  2 Ni 2.43-2.50, 3 Ru 2.55-2.56, 3 V 2.55-2.57
Ni 0.5018 0.5018 0.7469  2 Ni 2.43-2.50, 3 Ru 2.55-2.56, 3 V 2.55-2.57
Ru 0.1722 0.1722 0.8734  3 V 2.43-2.54, 3 Ni 2.55-2.56, 2 Ru 2.70
Ru 0.8278 0.8278 0.1266  3 V 2.43-2.54, 3 Ni 2.55-2.56, 2 Ru 2.70

Entry 4:
Below is an optimized crystal structure of Ni4RuW, with properties calculated at the PBE level.

The calculation puts the energy above the lowest structure with this stoichiometry at 0 meV/atom. The value obtained for the total DFT energy (no corrections) is -45.55 eV for the cell shown. The calculated volume is 73.46 Å³ per cell. As for the formation energy: -33.3 meV/atom.

Lattice parameters (Å, degrees): 5.6456 5.6456 3.7137 90.00 90.00 141.64
Last column: nearest neighbours and their distance in Å.
Sites, in units of the cell vectors:
Ni 0.1687 0.8313 0.0000  8 Ni 2.53-2.62, 2 W 2.58, 2 Ru 2.59
Ni 0.3294 0.6706 0.5000  8 Ni 2.51-2.62, 2 Ru 2.60, 2 W 2.60
Ni 0.6706 0.3294 0.5000  8 Ni 2.51-2.62, 2 Ru 2.60, 2 W 2.60
Ni 0.8313 0.1687 0.0000  8 Ni 2.53-2.62, 2 W 2.58, 2 Ru 2.59
Ru 0.0000 0.0000 0.5000  8 Ni 2.59-2.60, 4 W 2.62
W 0.5000 0.5000 0.0000  8 Ni 2.58-2.60, 4 Ru 2.62

Entry 5:
Below is an optimized crystal structure of Ni2RuW, with properties calculated at the PBE level.

The value obtained for the total DFT energy (no corrections) is -33.98 eV for the cell shown. The calculated volume is 51.55 Å³ per cell. As for the formation energy: -46.0 meV/atom.

Lattice parameters (Å, degrees): 3.6671 3.6671 3.8332 90.00 90.00 90.00
Last column: nearest neighbours and their distance in Å.
Sites, in units of the cell vectors:
Ni 0.0000 0.5000 0.0000  4 Ni 2.59, 4 W 2.65, 4 Ru 2.65
Ni 0.5000 0.0000 0.0000  4 Ni 2.59, 4 W 2.65, 4 Ru 2.65
Ru 0.0000 0.0000 0.5000  4 W 2.59, 8 Ni 2.65
W 0.5000 0.5000 0.5000  4 Ru 2.59, 8 Ni 2.65

Entry 6:
Below is an optimized crystal structure of NiRuW2, with properties calculated at the PBE level.

The value obtained for the total DFT energy (no corrections) is -40.16 eV for the cell shown. The calculated volume is 58.22 Å³ per cell. As for the formation energy: 200.2 meV/atom.

Lattice parameters (Å, degrees): 9.0801 9.0801 9.0801 17.37 17.37 17.37
Last column: nearest neighbours and their distance in Å.
Sites, in units of the cell vectors:
Ni 0.0000 0.0000 0.0000  6 W 2.70, 6 Ni 2.74
Ru 0.5000 0.5000 0.5000  6 Ru 2.74, 6 W 2.78
W 0.2518 0.2518 0.2518  3 Ni 2.70, 6 W 2.74, 3 Ru 2.78
W 0.7482 0.7482 0.7482  3 Ni 2.70, 6 W 2.74, 3 Ru 2.78

Entry 7:
Below is an optimized crystal structure of NiRuW2, with properties calculated at the PBE level.

The value obtained for the total DFT energy (no corrections) is -40.76 eV for the cell shown. The calculated volume is 57.36 Å³ per cell. As for the formation energy: 51.7 meV/atom.

Lattice parameters (Å, degrees): 2.7783 4.3777 4.7159 90.00 90.00 90.00
Last column: nearest neighbours and their distance in Å.
Sites, in units of the cell vectors:
Ni 0.0000 0.0000 0.0000  8 W 2.67-2.76, 2 Ru 2.74, 2 Ni 2.78
Ru 0.0000 0.5000 0.6519  8 W 2.68-2.80, 2 Ni 2.74, 2 Ru 2.78
W 0.5000 0.0000 0.4937  4 Ru 2.70, 4 Ni 2.71-2.76, 4 W 2.76-2.78
W 0.5000 0.5000 0.1369  4 Ni 2.67, 4 Ru 2.68-2.80, 4 W 2.76-2.78

Entry 8:
Below is an optimized crystal structure of Ni2RuW, with properties calculated at the PBE level.

The value obtained for the total DFT energy (no corrections) is -62.85 eV for the cell shown. The calculated volume is 111.92 Å³ per cell. As for the formation energy: 592.2 meV/atom.

Lattice parameters (Å, degrees): 5.3439 5.3439 5.3439 102.85 102.85 123.73
Last column: nearest neighbours and their distance in Å.
Sites, in units of the cell vectors:
Ni 0.1205 0.6250 0.9955  2 W 2.42, 2 Ru 2.46, 2 Ni 2.52
Ni 0.3750 0.3705 0.4955  2 W 2.42, 2 Ru 2.46, 2 Ni 2.52
Ni 0.6295 0.1250 0.0045  2 W 2.42, 2 Ru 2.46, 2 Ni 2.52
Ni 0.8750 0.8795 0.5045  2 W 2.42, 2 Ru 2.46, 2 Ni 2.52
Ru 0.2500 0.7500 0.5000  4 Ni 2.46, 2 W 2.52
Ru 0.5000 0.5000 0.0000  4 Ni 2.46, 2 W 2.52
W 0.0000 0.0000 0.0000  4 Ni 2.42, 2 Ru 2.52
W 0.7500 0.2500 0.5000  4 Ni 2.42, 2 Ru 2.52

Entry 9:
Below is an optimized crystal structure of NiRuW2, with properties calculated at the PBE level.

The value obtained for the total DFT energy (no corrections) is -40.80 eV for the cell shown. The calculated volume is 57.35 Å³ per cell. As for the formation energy: 39.8 meV/atom.

Lattice parameters (Å, degrees): 2.7720 3.8204 5.4151 90.00 90.12 90.00
Last column: nearest neighbours and their distance in Å.
Sites, in units of the cell vectors:
Ni 0.0000 0.0000 0.0000  2 Ru 2.71, 8 W 2.71-2.72, 2 Ni 2.77
Ru 0.0000 0.0000 0.5000  2 Ni 2.71, 8 W 2.73, 2 Ru 2.77
W 0.4993 0.5000 0.2477  4 W 2.68-2.77, 4 Ni 2.71-2.72, 4 Ru 2.73
W 0.5007 0.5000 0.7523  4 W 2.68-2.77, 4 Ni 2.71-2.72, 4 Ru 2.73

Entry 10:
Below is an optimized crystal structure of NiRuW, with properties calculated at the PBE level.

The calculation puts the energy above the lowest structure with this stoichiometry at 80 meV/atom. The value obtained for the total DFT energy (no corrections) is -27.71 eV for the cell shown. The calculated volume is 41.33 Å³ per cell. As for the formation energy: 99.4 meV/atom.

Lattice parameters (Å, degrees): 5.8537 5.8537 5.8537 152.98 152.98 38.58
Last column: nearest neighbours and their distance in Å.
Sites, in units of the cell vectors:
Ni 0.0000 0.0000 0.0000  4 Ru 2.65, 4 W 2.66, 4 Ni 2.73
Ru 0.6635 0.6635 0.0000  4 Ni 2.65, 4 W 2.71, 4 Ru 2.73
W 0.3350 0.3350 0.0000  4 Ni 2.66, 4 Ru 2.71, 4 W 2.73

Entry 11:
Below is an optimized crystal structure of Ni2RuW, with properties calculated at the PBE level.

The value obtained for the total DFT energy (no corrections) is -34.01 eV for the cell shown. The calculated volume is 51.76 Å³ per cell. As for the formation energy: -54.3 meV/atom.

Lattice parameters (Å, degrees): 4.5605 4.5605 4.5605 131.73 131.73 70.66
Last column: nearest neighbours and their distance in Å.
Sites, in units of the cell vectors:
Ni 0.0000 0.0000 0.0000  4 Ni 2.63, 4 W 2.63, 4 Ru 2.64
Ni 0.7500 0.2500 0.5000  4 Ni 2.63, 4 Ru 2.63, 4 W 2.64
Ru 0.5000 0.5000 0.0000  8 Ni 2.63-2.64, 4 W 2.63
W 0.2500 0.7500 0.5000  4 Ru 2.63, 8 Ni 2.63-2.64

Entry 12:
Below is an optimized crystal structure of Ni2RuW, with properties calculated at the PBE level.

The value obtained for the total DFT energy (no corrections) is -32.91 eV for the cell shown. The calculated volume is 53.05 Å³ per cell. As for the formation energy: 220.0 meV/atom.

Lattice parameters (Å, degrees): 8.7424 8.7424 8.7424 17.55 17.55 17.55
Last column: nearest neighbours and their distance in Å.
Sites, in units of the cell vectors:
Ni 0.2483 0.2483 0.2483  3 Ru 2.61, 6 Ni 2.67, 3 W 2.68
Ni 0.7517 0.7517 0.7517  3 Ru 2.61, 6 Ni 2.67, 3 W 2.68
Ru 0.5000 0.5000 0.5000  6 Ni 2.61, 6 Ru 2.67
W 0.0000 0.0000 0.0000  6 W 2.67, 6 Ni 2.68

Entry 13:
Below is an optimized crystal structure of NiRuW, with properties calculated at the PBE level.

The calculation puts the energy above the lowest structure with this stoichiometry at 661 meV/atom. The value obtained for the total DFT energy (no corrections) is -25.97 eV for the cell shown. The calculated volume is 47.34 Å³ per cell. As for the formation energy: 680.5 meV/atom.

Lattice parameters (Å, degrees): 3.5243 3.5407 3.7935 90.00 90.00 90.00
Last column: nearest neighbours and their distance in Å.
Sites, in units of the cell vectors:
Ni 0.0000 0.0000 0.0000  4 W 2.50, 4 Ru 2.59
Ru 0.0000 0.5000 0.5000  4 W 2.59, 4 Ni 2.59
W 0.5000 0.5000 0.0000  4 Ni 2.50, 4 Ru 2.59

Entry 14:
Below is an optimized crystal structure of NiRu2W, with properties calculated at the PBE level.

The value obtained for the total DFT energy (no corrections) is -36.63 eV for the cell shown. The calculated volume is 56.15 Å³ per cell. As for the formation energy: 165.0 meV/atom.

Lattice parameters (Å, degrees): 8.8543 8.8543 8.8543 17.72 17.72 17.72
Last column: nearest neighbours and their distance in Å.
Sites, in units of the cell vectors:
Ni 0.0000 0.0000 0.0000  6 Ru 2.63, 6 Ni 2.73
Ru 0.2527 0.2527 0.2527  3 Ni 2.63, 6 Ru 2.73, 3 W 2.75
Ru 0.7473 0.7473 0.7473  3 Ni 2.63, 6 Ru 2.73, 3 W 2.75
W 0.5000 0.5000 0.5000  6 W 2.73, 6 Ru 2.75

Entry 15:
Below is an optimized crystal structure of NiRuW2, with properties calculated at the PBE level.

The value obtained for the total DFT energy (no corrections) is -40.15 eV for the cell shown. The calculated volume is 58.10 Å³ per cell. As for the formation energy: 203.4 meV/atom.

Lattice parameters (Å, degrees): 4.3474 4.3474 4.3474 60.00 60.00 60.00
Last column: nearest neighbours and their distance in Å.
Sites, in units of the cell vectors:
Ni 0.0000 0.0000 0.0000  4 Ru 2.66, 4 W 2.66
Ru 0.7500 0.7500 0.7500  4 Ni 2.66, 4 W 2.66
W 0.2500 0.2500 0.2500  4 W 2.66, 4 Ni 2.66
W 0.5000 0.5000 0.5000  4 W 2.66, 4 Ru 2.66

Entry 16:
Below is an optimized crystal structure of Ni2RuW, with properties calculated at the PBE level.

The value obtained for the total DFT energy (no corrections) is -33.50 eV for the cell shown. The calculated volume is 51.90 Å³ per cell. As for the formation energy: 72.2 meV/atom.

Lattice parameters (Å, degrees): 4.5507 4.5507 2.6813 90.00 90.00 110.84
Last column: nearest neighbours and their distance in Å.
Sites, in units of the cell vectors:
Ni 0.0000 0.5000 0.0000  4 Ni 2.58-2.68, 4 W 2.64, 4 Ru 2.64
Ni 0.5000 0.0000 0.0000  4 Ni 2.58-2.68, 4 W 2.64, 4 Ru 2.64
Ru 0.0000 0.0000 0.5000  2 W 2.58, 8 Ni 2.64, 2 Ru 2.68
W 0.5000 0.5000 0.5000  2 Ru 2.58, 8 Ni 2.64, 2 W 2.68

Entry 17:
Below is an optimized crystal structure of Ni4RuW, with properties calculated at the PBE level.

The calculation puts the energy above the lowest structure with this stoichiometry at 20 meV/atom. The value obtained for the total DFT energy (no corrections) is -45.44 eV for the cell shown. The calculated volume is 71.94 Å³ per cell. As for the formation energy: -13.8 meV/atom.

Lattice parameters (Å, degrees): 4.6684 4.6684 4.6684 60.00 60.00 60.00
Last column: nearest neighbours and their distance in Å.
Sites, in units of the cell vectors:
Ni 0.1247 0.1247 0.1247  6 Ni 2.33-2.34
Ni 0.1247 0.1247 0.6258  6 Ni 2.33-2.34
Ni 0.1247 0.6258 0.1247  6 Ni 2.33-2.34
Ni 0.6258 0.1247 0.1247  6 Ni 2.33-2.34
Ru 0.7500 0.7500 0.7500  12 Ni 2.74, 4 W 2.86
W 0.5000 0.5000 0.5000  12 Ni 2.74, 4 Ru 2.86

Entry 18:
Below is an optimized crystal structure of Ni2RuW, with properties calculated at the PBE level.

The value obtained for the total DFT energy (no corrections) is -33.37 eV for the cell shown. The calculated volume is 52.72 Å³ per cell. As for the formation energy: 105.9 meV/atom.

Lattice parameters (Å, degrees): 4.2088 4.2088 4.2088 60.00 60.00 60.00
Last column: nearest neighbours and their distance in Å.
Sites, in units of the cell vectors:
Ni 0.0000 0.0000 0.0000  4 W 2.58, 4 Ni 2.58
Ni 0.2500 0.2500 0.2500  4 Ru 2.58, 4 Ni 2.58
Ru 0.5000 0.5000 0.5000  4 Ni 2.58, 4 W 2.58
W 0.7500 0.7500 0.7500  4 Ni 2.58, 4 Ru 2.58

Entry 19:
Below is an optimized crystal structure of Ni2RuW, with properties calculated at the PBE level.

The value obtained for the total DFT energy (no corrections) is -33.11 eV for the cell shown. The calculated volume is 52.25 Å³ per cell. As for the formation energy: 171.2 meV/atom.

Lattice parameters (Å, degrees): 3.1561 3.1561 5.2457 90.00 90.00 90.00
Last column: nearest neighbours and their distance in Å.
Sites, in units of the cell vectors:
Ni 0.0000 0.0000 0.2427  2 Ni 2.55-2.70, 4 W 2.57, 4 Ru 2.61
Ni 0.0000 0.0000 0.7573  2 Ni 2.55-2.70, 4 W 2.57, 4 Ru 2.61
Ru 0.5000 0.5000 0.5000  8 Ni 2.61, 2 W 2.62
W 0.5000 0.5000 0.0000  8 Ni 2.57, 2 Ru 2.62

Entry 20:
Below is an optimized crystal structure of NiRu2W, with properties calculated at the PBE level.

The value obtained for the total DFT energy (no corrections) is -36.88 eV for the cell shown. The calculated volume is 55.73 Å³ per cell. As for the formation energy: 102.3 meV/atom.

Lattice parameters (Å, degrees): 4.5574 4.5574 2.8003 90.00 90.00 106.62
Last column: nearest neighbours and their distance in Å.
Sites, in units of the cell vectors:
Ni 0.0000 0.0000 0.0000  8 Ru 2.67, 2 W 2.72, 2 Ni 2.80
Ru 0.0000 0.5000 0.5000  4 W 2.67, 4 Ni 2.67, 4 Ru 2.72-2.80
Ru 0.5000 0.0000 0.5000  4 W 2.67, 4 Ni 2.67, 4 Ru 2.72-2.80
W 0.5000 0.5000 0.0000  8 Ru 2.67, 2 Ni 2.72, 2 W 2.80